(1)
BaBeIn, relaxed, DFT PBE; offset from the most stable computed form = 63 kJ/mol of formula units; space-group type = Fmm2, No. 42; uncorrected energy = -2.54 eV per atom; energy of formation from the pure elements = 0.26 eV per atom
1.0
6.8306 0.0616 -0.0647
5.8696 3.4915 -0.0173
0.9609 0.2157 3.4234
Be In Ba
1 1 1
direct
0.3038 0.3038 0.6962
0.7061 0.7061 0.2939
0.9902 0.9902 0.0098

(2)
BaBeIn2, relaxed, DFT PBE; space-group type = I4_1/amd, No. 141; uncorrected energy = -2.70 eV per atom; energy of formation from the pure elements = 0.08 eV per atom
1.0
-3.1810 1.8179 4.2000
3.0081 -3.0242 3.5873
5.1292 5.9208 5.0200
Be In Ba
2 4 2
direct
0.2500 0.7500 0.5000
0.5000 0.5000 0.0000
0.3750 0.6250 0.7500
0.3750 0.1250 0.2500
0.3750 0.6250 0.2500
0.8750 0.6250 0.7500
0.7500 0.2500 0.5000
0.0000 0.0000 0.0000

(3)
BaBeIn4, relaxed, DFT PBE; space-group type = F-43m, No. 216; uncorrected energy = -2.52 eV per atom; energy of formation from the pure elements = 0.25 eV per atom
1.0
0.0000 4.4533 4.4533
4.4533 0.0000 4.4533
4.4533 4.4533 0.0000
In Ba Be
4 1 1
direct
0.3744 0.3744 0.8769
0.3744 0.3744 0.3744
0.8769 0.3744 0.3744
0.3744 0.8769 0.3744
0.7500 0.7500 0.7500
0.0000 0.0000 0.0000

Size of the total moment, record by record: 0.0; 0.0; 0.0 Bohr magnetons per cell